Crystalline TbPmBi2 at its relaxed geometry, computed with PBE.

## Properties
Calculated formation energy, eV per atom: -0.652
DFT total energy, eV per atom: -4.938
D(E_F), states/eV/cell: 3.14

Cell: 5.561 5.561 5.561 Å, 60.00 60.00 60.00°
Fractional positions:
Tb 0.000 0.000 0.000
Pm 0.500 0.500 0.500
Bi 0.250 0.250 0.250
Bi 0.750 0.750 0.750

=====

Crystalline TbPm2Bi at its relaxed geometry, computed with PBE.

## Properties
Calculated formation energy, eV per atom: -0.381
DFT total energy, eV per atom: -4.884
D(E_F), states/eV/cell: 4.47

Cell: 4.296 4.296 6.870 Å, 90.00 90.00 90.00°
Fractional positions:
Tb 0.000 0.000 0.000
Pm 0.500 0.500 0.264
Pm 0.500 0.500 0.736
Bi 0.000 0.000 0.500

=====

Crystalline Tb4PmBi5 at its relaxed geometry, computed with PBE.

## Properties
Calculated formation energy, eV per atom: -0.891
DFT total energy, eV per atom: -5.159
D(E_F), states/eV/cell: 1.97

Cell: 11.928 11.928 11.928 Å, 158.20 149.00 38.22°
Fractional positions:
Tb 0.100 0.100 0.000
Tb 0.299 0.299 0.000
Tb 0.701 0.701 0.000
Tb 0.900 0.900 0.000
Pm 0.500 0.500 0.000
Bi 0.000 0.500 0.500
Bi 0.200 0.700 0.500
Bi 0.398 0.898 0.500
Bi 0.602 0.102 0.500
Bi 0.800 0.300 0.500

=====

Crystalline TbPm2Bi2 at its relaxed geometry, computed with PBE.

## Properties
Calculated formation energy, eV per atom: -0.621
DFT total energy, eV per atom: -5.000
D(E_F), states/eV/cell: 8.35

Cell: 8.144 8.144 8.144 Å, 114.94 83.84 133.29°
Fractional positions:
Tb 0.250 0.250 0.000
Tb 0.750 0.750 0.000
Pm 0.152 0.645 0.797
Pm 0.348 0.145 0.493
Pm 0.652 0.855 0.507
Pm 0.848 0.355 0.203
Bi 0.109 0.283 0.392
Bi 0.391 0.783 0.174
Bi 0.609 0.217 0.826
Bi 0.891 0.717 0.608